This record from the Alexandria database describes an optimized crystal structure of TiH. The functional is GGA-PBE.

Output
raw total energy = -190.83 eV/cell
SG = No. 70
spin magnetization = 0.0 μB per cell

a = 6.5640 Å, b = 7.5688 Å, c = 6.2810 Å
α = 90.00°, β = 90.00°, γ = 90.00°
With the nearest neighbours (Å) after each atom.
Element x y z (fractional)
Ti1 0.2500 0.7500 0.0109  4 H 1.86-1.92
Ti2 0.0000 0.0000 0.7609  4 H 1.86-1.92
Ti3 0.2500 0.2500 0.9891  4 H 1.86-1.92
Ti4 0.5000 0.5000 0.2391  4 H 1.86-1.92
Ti5 0.2500 0.7500 0.4891  4 H 1.86-1.92
Ti6 0.2500 0.2500 0.5109  4 H 1.86-1.92
Ti7 0.7500 0.2500 0.4891  4 H 1.86-1.92
Ti8 0.7500 0.7500 0.5109  4 H 1.86-1.92
Ti9 0.5000 0.5000 0.7609  4 H 1.86-1.92
Ti10 0.0000 0.5000 0.7391  4 H 1.86-1.92
Ti11 0.7500 0.2500 0.0109  4 H 1.86-1.92
Ti12 0.5000 0.0000 0.2609  4 H 1.86-1.92
Ti13 0.0000 0.5000 0.2609  4 H 1.86-1.92
Ti14 0.0000 0.0000 0.2391  4 H 1.86-1.92
Ti15 0.7500 0.7500 0.9891  4 H 1.86-1.92
Ti16 0.5000 0.0000 0.7391  4 H 1.86-1.92
H1 0.7500 0.3833 0.7500  4 Ti 1.86-1.92, 1 H 2.02
H2 0.5000 0.8667 0.0000  4 Ti 1.86-1.92, 1 H 2.02
H3 0.5000 0.1333 0.0000  4 Ti 1.86-1.92, 1 H 2.02
H4 0.0000 0.3667 0.0000  4 Ti 1.86-1.92, 1 H 2.02
H5 0.5000 0.3667 0.5000  4 Ti 1.86-1.92, 1 H 2.02
H6 0.2500 0.1167 0.2500  4 Ti 1.86-1.92, 1 H 2.02
H7 0.2500 0.3833 0.2500  4 Ti 1.86-1.92, 1 H 2.02
H8 0.7500 0.1167 0.7500  4 Ti 1.86-1.92, 1 H 2.02
H9 0.2500 0.6167 0.7500  4 Ti 1.86-1.92, 1 H 2.02
H10 0.0000 0.8667 0.5000  4 Ti 1.86-1.92, 1 H 2.02
H11 0.0000 0.1333 0.5000  4 Ti 1.86-1.92, 1 H 2.02
H12 0.2500 0.8833 0.7500  4 Ti 1.86-1.92, 1 H 2.02
H13 0.7500 0.6167 0.2500  4 Ti 1.86-1.92, 1 H 2.02
H14 0.5000 0.6333 0.5000  4 Ti 1.86-1.92, 1 H 2.02
H15 0.0000 0.6333 0.0000  4 Ti 1.86-1.92, 1 H 2.02
H16 0.7500 0.8833 0.2500  4 Ti 1.86-1.92, 1 H 2.02